Entry 1:
VASP calculation (PBE) on crystalline Al2VB at its relaxed geometry.

Unit cell a=5.425 b=5.425 c=5.425 alpha=99.64 beta=99.64 gamma=131.68
Positions (direct):
Al 0.031 0.125 0.406
Al 0.375 0.969 0.094
Al 0.719 0.625 0.594
Al 0.875 0.281 0.906
V 0.250 0.750 0.500
V 0.500 0.500 0.000
B 0.000 0.000 0.000
B 0.750 0.250 0.500

Properties
Energy relative to the elements = 0.1756 eV per atom
Mass density = 3.53 Mg/m³
V = 13.60 A^3/atom
N(E_F) = 3.255 states/eV/cell
Crystal system = tetragonal
SG = I-42d (122)

=====

Entry 2:
VASP calculation (PBE) on crystalline Cr2BiN at its relaxed geometry.

Unit cell a=5.522 b=5.522 c=5.522 alpha=110.97 beta=110.97 gamma=106.52
Positions (direct):
Cr 0.375 0.235 0.360
Cr 0.765 0.125 0.140
Cr 0.875 0.015 0.640
Cr 0.985 0.625 0.860
Bi 0.250 0.750 0.500
Bi 0.500 0.500 0.000
N 0.000 0.000 0.000
N 0.750 0.250 0.500

Properties
Mass density = 8.40 Mg/m³
E_form (uncorrected) = 0.08 eV/atom
V = 16.17 A^3/atom
N(E_F) = 9.087 states/eV/cell
Relative energy among the computed polymorphs = 0.000 eV per atom
Crystal system = tetragonal
SG = I-42d (122)

=====

Entry 3:
VASP calculation (PBE) on crystalline Sr3Hg at its relaxed geometry.

Unit cell a=11.734 b=11.734 c=11.734 alpha=21.38 beta=21.38 gamma=21.38
Positions (direct):
Sr 0.000 0.000 0.000
Sr 0.230 0.230 0.230
Sr 0.770 0.770 0.770
Hg 0.500 0.500 0.500

Properties
Energy relative to the elements = -0.2111 eV per atom
Mass density = 4.09 Mg/m³
V = 47.04 A^3/atom
N(E_F) = 4.325 states/eV/cell
Relative energy among the computed polymorphs = 0.072 eV per atom
Crystal system = trigonal
SG = R-3m (166)